# La3PrY2P6

A geometry-optimized La3PrY2P6 structure (GGA-PBE, Alexandria via LeMat-Bulk).

The structure in POSCAR format:
```
La3PrY2P6
1.0
3.619 -6.267 0.000
3.619 6.267 0.000
-2.413 0.000 6.823
La Pr Y P
3 1 2 6
Cartesian
0.000 0.000 0.000
3.619 2.078 0.000
3.619 -2.078 0.000
2.412 0.000 3.411
2.412 4.174 3.411
2.412 -4.174 3.411
1.184 2.126 1.768
-0.044 0.000 5.049
1.184 -2.126 1.768
3.640 2.126 5.055
4.868 0.000 1.774
3.640 -2.126 5.055
```

Results
The calculated density comes out at 4.9 g/cm³. The calculation puts the calculated formation energy at -1.57 eV/atom.


# La2PrZrP4

A geometry-optimized La2PrZrP4 structure (GGA-PBE, Alexandria via LeMat-Bulk).

The structure in POSCAR format:
```
La2PrZrP4
1.0
7.108 0.000 0.000
0.000 4.096 0.000
-2.338 0.000 6.743
La Pr Zr P
2 1 1 4
Cartesian
0.000 0.000 0.000
3.554 2.048 0.000
-1.169 2.048 3.371
2.385 0.000 3.371
0.136 0.000 4.963
1.291 2.048 1.837
3.479 2.048 4.906
4.634 0.000 1.780
```

Results
The calculated density comes out at 5.4 g/cm³. The calculation puts the calculated formation energy at -1.47 eV/atom.


# La2PPt

A geometry-optimized La2PPt structure (GGA-PBE, Alexandria via LeMat-Bulk).

The structure in POSCAR format:
```
La2PPt
1.0
-1.996 2.156 5.659
1.996 -2.156 5.659
1.996 2.156 -5.659
La P Pt
2 1 1
Cartesian
0.000 0.000 0.000
0.000 2.156 2.634
1.996 0.000 3.383
0.000 0.000 5.378
```

Results
The calculated density comes out at 8.6 g/cm³. The calculation puts the calculated formation energy at -1.08 eV/atom.


# La2PPt2

A geometry-optimized La2PPt2 structure (GGA-PBE, Alexandria via LeMat-Bulk).

The structure in POSCAR format:
```
La2PPt2
1.0
5.726 0.000 0.000
0.000 5.726 0.000
0.000 0.000 7.973
La P Pt
4 2 4
Cartesian
1.432 1.432 0.749
1.432 4.295 3.987
4.295 1.432 3.987
4.295 4.295 7.224
1.432 1.432 3.486
4.295 4.295 4.487
1.432 1.432 5.791
1.432 4.295 0.000
4.295 1.432 0.000
4.295 4.295 2.182
```

Results
The calculated density comes out at 8.9 g/cm³. The calculation puts the calculated formation energy at -0.87 eV/atom.


# LaPPt

A geometry-optimized LaPPt structure (GGA-PBE, Alexandria via LeMat-Bulk).

The structure in POSCAR format:
```
LaPPt
1.0
-2.062 2.062 4.148
2.062 -2.062 4.148
2.062 2.062 -4.148
La P Pt
1 1 1
Cartesian
0.000 0.000 0.000
0.000 0.000 5.431
0.000 0.000 3.127
```

Results
The calculated density comes out at 8.6 g/cm³. The calculation puts the calculated formation energy at -0.78 eV/atom.


# LaP2Pt4

A geometry-optimized LaP2Pt4 structure (GGA-PBE, Alexandria via LeMat-Bulk).

The structure in POSCAR format:
```
LaP2Pt4
1.0
7.993 0.000 0.000
0.000 7.993 0.000
0.000 0.000 3.791
La P Pt
2 4 8
Cartesian
0.000 0.000 0.000
3.997 3.997 1.895
1.699 1.699 1.895
2.298 5.695 0.000
5.695 2.298 0.000
6.294 6.294 1.895
0.834 5.226 1.895
1.229 3.162 0.000
2.767 7.159 1.895
3.162 1.229 0.000
4.831 6.764 0.000
5.226 0.834 1.895
6.764 4.831 0.000
7.159 2.767 1.895
```

Results
The calculated density comes out at 13.5 g/cm³. The calculation puts the calculated formation energy at -0.79 eV/atom.


# La2PPt

A geometry-optimized La2PPt structure (GGA-PBE, Alexandria via LeMat-Bulk).

The structure in POSCAR format:
```
La2PPt
1.0
2.102 1.213 7.511
-2.102 1.213 7.511
0.000 -2.427 7.511
La P Pt
2 1 1
Cartesian
0.000 0.000 0.000
0.000 0.000 3.945
0.000 0.000 9.269
0.000 0.000 17.211
```

Results
The calculated density comes out at 7.3 g/cm³. The calculation puts the calculated formation energy at -0.97 eV/atom.


# La2PPt

A geometry-optimized La2PPt structure (GGA-PBE, Alexandria via LeMat-Bulk).

The structure in POSCAR format:
```
La2PPt
1.0
4.484 0.000 0.000
0.000 2.039 5.552
0.000 -2.039 5.552
La P Pt
2 1 1
Cartesian
0.000 0.000 0.000
2.242 0.000 2.952
2.242 0.000 6.032
0.000 0.000 8.067
```

Results
The calculated density comes out at 8.2 g/cm³. The calculation puts the calculated formation energy at -1.26 eV/atom.


Number 1: total magnetization 0.0 Bohr magnetons per cell, calculated volume 25.79 Å³/atom. Number 2: total magnetization 0.0 Bohr magnetons per cell, calculated volume 24.54 Å³/atom. Number 3: total magnetization 0.0 Bohr magnetons per cell, calculated volume 24.35 Å³/atom. Number 4: total magnetization 0.0 Bohr magnetons per cell, calculated volume 26.14 Å³/atom. Number 5: total magnetization 0.0 Bohr magnetons per cell, calculated volume 23.51 Å³/atom. Number 6: total magnetization 0.0 Bohr magnetons per cell, calculated volume 17.30 Å³/atom. Number 7: total magnetization 0.8 Bohr magnetons per cell, calculated volume 28.73 Å³/atom. Number 8: total magnetization 0.0 Bohr magnetons per cell, calculated volume 25.38 Å³/atom.